Record 1
# Ho5O

An optimized crystal structure of Ho5O (PBE-GGA, Alexandria).

Cell lengths 3.281, 17.506, 6.220 Å; angles 90.00, 90.00, 90.00 degrees
Positions (direct):
Ho  0.000  0.000  0.000
Ho  0.000  0.094  0.500
Ho  0.000  0.334  0.000
Ho  0.000  0.666  0.000
Ho  0.000  0.906  0.500
Ho  0.500  0.166  0.000
Ho  0.500  0.406  0.500
Ho  0.500  0.500  0.000
Ho  0.500  0.594  0.500
Ho  0.500  0.834  0.000
O  0.000  0.500  0.500
O  0.500  0.000  0.500

ΔE_f (raw)   -0.400 eV/atom
ρ   7.82 g/cm3
Space group   Cmmm (65)
Calculated volume   29.77 A^3/atom



Record 2
# Tb6TlSe3S2

An optimized crystal structure of Tb6TlSe3S2 (PBE-GGA, Alexandria).

Cell lengths 9.200, 9.200, 8.381 Å; angles 103.59, 103.59, 25.19 degrees
Positions (direct):
Tb  0.006  0.006  0.265
Tb  0.329  0.329  0.428
Tb  0.329  0.329  0.899
Tb  0.671  0.671  0.101
Tb  0.671  0.671  0.572
Tb  0.994  0.994  0.735
Tl  0.500  0.500  0.000
Se  0.165  0.165  0.830
Se  0.500  0.500  0.500
Se  0.835  0.835  0.170
S  0.170  0.170  0.337
S  0.830  0.830  0.663

ΔE_f (raw)   -1.581 eV/atom
ρ   8.27 g/cm3
Space group   C2/m (12)
Calculated volume   24.41 A^3/atom



Record 3
# PrDy2Tl

An optimized crystal structure of PrDy2Tl (PBE-GGA, Alexandria).

Cell lengths 7.840, 7.840, 7.840 Å; angles 90.00, 90.00, 90.00 degrees
Positions (direct):
Pr  0.000  0.000  0.000
Pr  0.000  0.500  0.500
Pr  0.500  0.000  0.500
Pr  0.500  0.500  0.000
Dy  0.000  0.000  0.500
Dy  0.000  0.500  0.000
Dy  0.250  0.250  0.250
Dy  0.250  0.750  0.750
Dy  0.500  0.000  0.000
Dy  0.500  0.500  0.500
Dy  0.750  0.250  0.750
Dy  0.750  0.750  0.250
Tl  0.250  0.250  0.750
Tl  0.250  0.750  0.250
Tl  0.750  0.250  0.250
Tl  0.750  0.750  0.750

Energy of formation from the pure elements   -4 kJ/mol of atoms
ρ   9.24 g/cm3
Polymorph energy (0 for the lowest one)   138 meV/atom
Space group   F-43m (216)
Calculated volume   30.11 A^3/atom